PBE-GGA InFeSN2, relaxed; total DFT energy (no corrections) = -4.709 eV per atom; space group = No. 123
1.0
-1.073 0.410 -3.944
-1.344 -3.882 -0.038
-4.946 1.698 1.522
S N Fe In
1 2 1 1
direct
0.000 0.000 0.500
0.000 0.500 0.000
0.500 0.000 0.000
0.500 0.500 0.500
0.000 0.000 0.000



PBE-GGA SmAl3B4O12, relaxed; total DFT energy (no corrections) = -7.931 eV per atom; space group = No. 15
1.0
-3.997 -4.247 -1.210
0.241 0.151 5.950
-9.298 6.001 1.819
Sm Al B O
2 6 8 24
direct
0.964 0.036 0.750
0.036 0.964 0.250
0.695 0.194 0.028
0.305 0.806 0.972
0.806 0.305 0.472
0.194 0.695 0.528
0.412 0.588 0.750
0.588 0.412 0.250
0.493 0.119 0.722
0.507 0.881 0.278
0.881 0.507 0.778
0.119 0.493 0.222
0.721 0.777 0.505
0.279 0.223 0.495
0.223 0.279 0.995
0.777 0.721 0.005
0.191 0.997 0.564
0.809 0.003 0.436
0.003 0.809 0.936
0.997 0.191 0.064
0.423 0.895 0.795
0.577 0.105 0.205
0.105 0.577 0.705
0.895 0.423 0.295
0.699 0.177 0.638
0.301 0.823 0.362
0.823 0.301 0.862
0.177 0.699 0.138
0.629 0.869 0.998
0.371 0.131 0.002
0.131 0.371 0.502
0.869 0.629 0.498
0.354 0.268 0.741
0.646 0.732 0.259
0.732 0.646 0.759
0.268 0.354 0.241
0.494 0.700 0.574
0.506 0.300 0.426
0.300 0.506 0.926
0.700 0.494 0.074



PBE-GGA HRu2F4, relaxed; total DFT energy (no corrections) = -4.447 eV per atom; space group = No. 139
1.0
3.323 0.000 0.000
0.000 3.323 0.000
1.661 1.661 7.086
Ru H F
2 1 4
direct
0.637 0.637 0.727
0.363 0.363 0.273
0.000 0.000 0.000
0.803 0.803 0.394
0.197 0.197 0.606
0.000 0.500 0.000
0.500 0.000 0.000



PBE-GGA GaC, relaxed; space group = No. 217; energy of formation = 1.16 eV/atom
1.0
6.392 0.000 0.000
0.000 6.392 0.000
0.000 0.000 6.392
Ga C
8 8
direct
0.338 0.338 0.338
0.338 0.662 0.662
0.662 0.338 0.662
0.662 0.662 0.338
0.838 0.838 0.838
0.838 0.162 0.162
0.162 0.838 0.162
0.162 0.162 0.838
0.164 0.164 0.164
0.164 0.836 0.836
0.836 0.164 0.836
0.836 0.836 0.164
0.664 0.664 0.664
0.664 0.336 0.336
0.336 0.664 0.336
0.336 0.336 0.664



PBE-GGA CrFeNi, relaxed; space group = No. 42; energy of formation = 0.05 eV/atom
1.0
-0.796 -5.617 1.433
-0.221 -5.766 -0.956
2.278 -0.711 0.602
Cr Fe Ni
1 1 1
direct
0.004 0.004 0.996
0.331 0.331 0.669
0.665 0.665 0.335



PBE-GGA Ti7NbBi3, relaxed; space group = No. 71; energy of formation = 0.27 eV/atom
1.0
-0.883 -3.249 3.889
1.995 -3.568 -5.931
6.530 2.986 0.575
Ti Nb Bi
7 1 3
direct
0.187 0.188 0.188
0.332 0.077 0.587
0.668 0.413 0.923
0.332 0.587 0.077
0.000 0.500 0.500
0.668 0.923 0.413
0.813 0.812 0.812
0.500 0.500 0.500
0.000 0.766 0.234
0.500 0.000 0.000
0.000 0.234 0.766



PBE-GGA PaZn2Ge2, relaxed; space group = No. 63; energy of formation = -0.26 eV/atom
1.0
3.983 0.000 -0.708
0.000 4.023 0.000
0.028 0.000 11.717
Pa Zn Ge
2 4 4
direct
0.349 0.250 0.698
0.651 0.750 0.302
0.042 0.750 0.084
0.462 0.750 0.924
0.958 0.250 0.916
0.538 0.250 0.076
0.750 0.250 0.501
0.250 0.750 0.499
0.879 0.750 0.757
0.121 0.250 0.243



PBE-GGA SrNi4Rh, relaxed; space group = No. 216; energy of formation = 0.17 eV/atom
1.0
-0.731 -4.923 0.258
2.041 -2.631 3.707
-2.888 -1.905 3.587
Sr Ni Rh
1 4 1
direct
0.000 0.000 0.000
0.871 0.376 0.376
0.376 0.376 0.871
0.376 0.871 0.376
0.376 0.376 0.376
0.750 0.750 0.750



PBE-GGA CaFe2Pt, relaxed; space group = No. 166; energy of formation = 0.48 eV/atom
1.0
9.432 0.014 0.008
9.002 2.817 0.008
9.002 1.382 2.454
Ca Fe Pt
1 2 1
direct
0.750 0.750 0.750
0.993 0.993 0.993
0.507 0.507 0.507
0.250 0.250 0.250



PBE-GGA CeThMgAg, relaxed; space group = No. 216; energy of formation = 0.09 eV/atom
1.0
-0.202 -5.251 1.020
-0.152 -3.508 -4.040
4.249 -3.091 -1.022
Ag Mg Ce Th
1 1 1 1
direct
0.250 0.250 0.250
0.750 0.750 0.750
0.500 0.500 0.500
0.000 0.000 0.000



PBE-GGA SrGe3I, relaxed; total DFT energy (no corrections) = -2.840 eV per atom; space group = No. 221
1.0
-3.647 3.059 -2.791
-3.218 0.248 4.476
2.607 4.586 1.620
I Sr Ge
1 1 3
direct
0.000 0.000 0.000
0.500 0.500 0.500
0.000 0.500 0.000
0.000 0.000 0.500
0.500 0.000 0.000



PBE-GGA Y2InPb, relaxed; space group = No. 160; energy of formation = -0.09 eV/atom
1.0
11.110 0.008 0.005
10.534 3.530 0.005
10.534 1.722 3.082
In Pb Y
1 1 2
direct
0.500 0.500 0.500
0.752 0.752 0.752
0.001 0.001 0.001
0.248 0.248 0.248